Entry from Alexandria: a geometry-optimized SrNi2Ir2 structure (PBE-GGA).

Computed properties:
ΔH_f (0 K): 57 meV per atom
symmetry: No. 139
crystal system: tetragonal

Cell: 5.7183 5.7183 5.7183 Å, 135.79 135.79 64.30°
With the nearest neighbours (Å) after each atom.
Element x y z (fractional)
Sr  0.0000  0.0000  0.0000  8 Ni 3.24, 10 Ir 3.28-3.62
Ni  0.2500  0.7500  0.5000  4 Ir 2.46
Ni  0.7500  0.2500  0.5000  4 Ir 2.46
Ir  0.3742  0.3742  0.0000  1 Ir 2.44, 4 Ni 2.46
Ir  0.6258  0.6258  0.0000  1 Ir 2.44, 4 Ni 2.46